# TmSc2VO6, optimized geometry, DFT GGA+U
data_TmSc2VO6
_chemical_formula_sum 'Tm3 Sc6 V3 O18'
_cell_length_a 5.3991
_cell_length_b 5.3991
_cell_length_c 14.4560
_cell_angle_alpha 90.00
_cell_angle_beta 90.00
_cell_angle_gamma 120.00
_symmetry_space_group_name_H-M 'R 3'
_symmetry_Int_Tables_number 146
_symmetry_space_group_name_Hall 'R 3'
loop_
_atom_site_label
_atom_site_fract_x
_atom_site_fract_y
_atom_site_fract_z
Tm1 0.0000 0.0000 0.0000
Sc1 0.0000 0.0000 0.2798
Sc2 0.0000 0.0000 0.7872
V1 0.0000 0.0000 0.4889
O1 0.0178 0.7208 0.3915
O2 0.0273 0.3557 0.5544
# - crystal system = trigonal
# - uncorrected energy (eV/atom) = -8.5882